# 1
Below is a geometry-optimized LiIn2AsCl structure, with properties calculated at the GGA-PBEsol level.

Structure (POSCAR):
```
LiIn2AsCl
1.0
-4.069 1.424 -0.100
-0.868 -2.789 -4.383
-1.512 -4.116 2.918
As Cl Li In
1 1 1 2
Direct
0.500 0.000 0.000 As
0.500 0.500 0.500 Cl
0.000 0.000 0.000 Li
0.000 0.000 0.500 In
0.000 0.500 0.000 In
```

Formation energy without anion corrections (eV/f.u.): -0.18
Magnetic moment (μB per formula unit): 0.0
SG: No. 123

# 2
Below is a geometry-optimized NaBi2Pb2 structure, with properties calculated at the GGA-PBEsol level.

Structure (POSCAR):
```
NaBi2Pb2
1.0
5.001 0.000 0.000
0.000 5.001 0.000
-2.500 -2.500 7.195
Pb Na Bi
2 1 2
Direct
0.250 0.750 0.500 Pb
0.750 0.250 0.500 Pb
0.000 0.000 0.000 Na
0.390 0.390 0.781 Bi
0.610 0.610 0.219 Bi
```

Magnetic moment (μB per formula unit): 0.0
Energy (eV/cell): -18.1
SG: No. 139

# 3
Below is a geometry-optimized BaTeW2O9 structure, with properties calculated at the GGA-PBEsol level.

Structure (POSCAR):
```
BaTeW2O9
1.0
-2.480 -4.809 -0.525
6.624 -3.449 0.305
-0.724 -0.611 8.820
Ba Te W O
2 2 4 18
Direct
0.250 0.109 0.438 Ba
0.750 0.609 0.562 Ba
0.358 0.358 0.905 Te
0.642 0.858 0.095 Te
0.235 0.802 0.824 W
0.781 0.122 0.741 W
0.765 0.302 0.176 W
0.219 0.622 0.259 W
0.709 0.323 0.373 O
0.291 0.823 0.627 O
0.018 0.155 0.166 O
0.982 0.655 0.834 O
0.538 0.080 0.178 O
0.462 0.580 0.822 O
0.218 0.479 0.418 O
0.782 0.979 0.582 O
0.565 0.938 0.874 O
0.435 0.438 0.126 O
0.049 0.014 0.857 O
0.951 0.514 0.143 O
0.975 0.298 0.677 O
0.025 0.798 0.323 O
0.305 0.776 0.055 O
0.695 0.276 0.945 O
0.475 0.237 0.704 O
0.525 0.737 0.296 O
```

Formation energy without anion corrections (eV/f.u.): -27.23
Magnetic moment (μB per formula unit): 0.0
SG: No. 4

# 4
Below is a geometry-optimized AcAg2Pb structure, with properties calculated at the GGA-PBEsol level.

Structure (POSCAR):
```
AcAg2Pb
1.0
5.202 0.000 0.000
2.601 4.505 0.000
2.601 1.502 4.247
Pb Ac Ag
1 1 2
Direct
0.000 0.000 0.000 Pb
0.500 0.500 0.500 Ac
0.250 0.250 0.250 Ag
0.750 0.750 0.750 Ag
```

Magnetic moment (μB per formula unit): 0.0
Energy (eV/cell): -16.2
SG: No. 225